Below is a geometry-optimized Li2MoOs structure, with properties calculated at the PBE level.

a b c (Å): 2.6515 2.6515 28.8772
angles (deg): 90.00 90.00 120.00
Space group R-3m (No. 166, hexagonal axes)
Symmetry-distinct sites (fractional):
Li  0.0000  0.0000  0.2461 x6
Mo  0.0000  0.0000  0.0000 x3
Os  0.0000  0.0000  0.5000 x3

Results
energy of formation from the pure elements	0.308	eV/atom
magnetic moment	0.2	μB/f.u.